Ca3Mg2 | Alexandria via LeMat-Bulk | PBE-GGA | optimized geometry; formation energy = 18 meV/atom; final energy = -18.21 eV for the cell shown; energy above the most stable polymorph in this dataset = 0.052 eV per atom; total magnetization = 0.00 μB/f.u.
1.0
0.000 8.661 3.225
6.075 0.000 3.225
6.075 8.661 0.000
Ca Mg
6 4
direct
0.000 0.000 0.000
0.250 0.250 0.250
0.358 0.645 0.433
0.645 0.358 0.563
0.687 0.817 0.605
0.817 0.687 0.892
0.104 0.469 0.990
0.260 0.812 0.146
0.469 0.104 0.438
0.812 0.260 0.781

DyHo12Tm6 | Alexandria via LeMat-Bulk | PBE-GGA | optimized geometry; formation energy = 160 meV/atom; final energy = -83.32 eV for the cell shown; energy above the most stable polymorph in this dataset = 0.000 eV per atom; total magnetization = 0.01 μB/f.u.
1.0
5.861 3.384 5.016
-5.861 3.384 5.016
0.000 -6.767 5.016
Dy Ho Tm
1 12 6
direct
0.000 0.000 0.000
0.010 0.357 0.206
0.206 0.010 0.357
0.225 0.565 0.457
0.357 0.206 0.010
0.435 0.543 0.775
0.457 0.225 0.565
0.543 0.775 0.435
0.565 0.457 0.225
0.643 0.794 0.990
0.775 0.435 0.543
0.794 0.990 0.643
0.990 0.643 0.794
0.093 0.256 0.691
0.256 0.691 0.093
0.309 0.907 0.744
0.691 0.093 0.256
0.744 0.309 0.907
0.907 0.744 0.309

MgTl2Pd | Alexandria via LeMat-Bulk | PBE-GGA | optimized geometry; formation energy = 174 meV/atom; final energy = -10.82 eV for the cell shown; total magnetization = 0.00 μB/f.u.
1.0
1.630 0.941 10.548
-1.630 0.941 10.548
0.000 -1.882 10.548
Mg Tl Pd
1 2 1
direct
0.000 0.000 0.000
0.415 0.415 0.415
0.585 0.585 0.585
0.500 0.500 0.500

Re2TcBr | Alexandria via LeMat-Bulk | PBE-GGA | optimized geometry; formation energy from raw total energies = 1236 meV/atom; final energy = -31.99 eV for the cell shown; energy above the most stable polymorph in this dataset = 0.670 eV per atom; total magnetization = 0.00 μB/f.u.
1.0
2.601 -4.187 0.000
2.601 4.187 0.000
0.000 0.000 2.921
Re Tc Br
2 1 1
direct
0.000 0.500 0.000
0.500 0.000 0.000
0.000 0.000 0.500
0.500 0.500 0.500

MgPN2 | Alexandria via LeMat-Bulk | PBE-GGA | optimized geometry; formation energy from raw total energies = -168 meV/atom; final energy = -48.66 eV for the cell shown; energy above the most stable polymorph in this dataset = 0.212 eV per atom; total magnetization = 0.00 μB/f.u.
1.0
-2.293 2.293 4.055
2.293 -2.293 4.055
2.293 2.293 -4.055
Mg P N
2 2 4
direct
0.000 0.000 0.000
0.750 0.250 0.500
0.250 0.750 0.500
0.500 0.500 0.000
0.198 0.625 0.073
0.375 0.448 0.573
0.552 0.125 0.927
0.875 0.802 0.427

CdGeO3 | Alexandria via LeMat-Bulk | PBE-GGA | optimized geometry; formation energy from raw total energies = -817 meV/atom; final energy = -48.99 eV for the cell shown; total magnetization = 0.00 μB/f.u.
1.0
3.393 -6.569 0.000
3.393 6.569 0.000
-1.656 0.000 2.925
Cd Ge O
2 2 6
direct
0.164 0.836 0.500
0.836 0.164 0.000
0.395 0.579 0.989
0.579 0.395 0.489
0.153 0.197 0.680
0.197 0.153 0.180
0.226 0.548 0.390
0.548 0.226 0.890
0.594 0.913 0.255
0.913 0.594 0.755

ZnOs | Alexandria via LeMat-Bulk | PBE-GGA | optimized geometry; formation energy = 1154 meV/atom; final energy = -20.39 eV for the cell shown; total magnetization = 0.57 μB/f.u.
1.0
3.926 0.000 0.000
-1.963 3.400 0.000
0.000 0.000 4.681
Zn Os
2 2
direct
0.000 0.000 0.000
0.000 0.000 0.500
0.333 0.667 0.250
0.667 0.333 0.750

La6PtRh2N | Alexandria via LeMat-Bulk | PBE-GGA | optimized geometry; formation energy from raw total energies = -778 meV/atom; final energy = -66.41 eV for the cell shown; total magnetization = 0.00 μB/f.u.
1.0
3.539 2.044 6.549
-3.539 2.044 6.549
0.000 -4.087 6.549
La Pt Rh N
6 1 2 1
direct
0.034 0.321 0.645
0.193 0.794 0.491
0.321 0.645 0.034
0.491 0.193 0.794
0.645 0.034 0.321
0.794 0.491 0.193
0.908 0.908 0.908
0.081 0.081 0.081
0.594 0.594 0.594
0.405 0.405 0.405